VASP calculation (PBE) on crystalline Dy10Bi3Pb3 at its relaxed geometry.

Unit cell a=9.1279 b=9.1279 c=6.4942 alpha=90.00 beta=90.00 gamma=120.00
Closest atoms and distances in Å follow each position.
Space group P-62m (No. 189)
Asymmetric unit:
Dy 0.0000 0.2395 0.0000 x3  3 Bi 3.12-3.37
Dy 0.0000 0.7605 0.5000 x3  3 Pb 3.12-3.37
Dy 0.3333 0.6667 0.2513 x4  2 Dy 3.23-3.26, 3 Pb 3.24, 3 Bi 3.25
Bi 0.0000 0.6083 0.0000 x3  7 Dy 3.12-3.37
Pb 0.0000 0.3917 0.5000 x3  7 Dy 3.12-3.37

Values from the calculation:
The calculation puts the size of the total moment at 0.000 μB/atom. The value obtained for the energy is -78.70 eV/f.u.